Record 1
VSbSe2: relaxed, GGA-PBE.

Calculated values
Energy in eV/atom: -5.112
N(E_F) in states/eV/cell: 14.1

a = 7.3172 Å, b = 7.3172 Å, c = 6.8446 Å
α = 90.00°, β = 90.00°, γ = 90.00°
With the nearest neighbours (Å) after each atom.
Space group I-42d (No. 122)
Inequivalent atoms, fractional coordinates:
V (0.0000, 0.0000, 0.0000)  4 Se 2.49
Sb (0.0000, 0.0000, 0.5000)  4 Se 2.99
Se (0.1988, 0.7500, 0.1250)  2 V 2.49

---

Record 2
CdGeP2O: relaxed, GGA-PBE.

Calculated values
Energy in eV/atom: -4.052
N(E_F) in states/eV/cell: 2.7
ΔE to the lowest computed polymorph in meV per atom: 0.0

a = 4.9795 Å, b = 4.9795 Å, c = 3.5689 Å
α = 90.00°, β = 90.00°, γ = 90.00°
With the nearest neighbours (Å) after each atom.
Space group P4/mmm (No. 123)
Inequivalent atoms, fractional coordinates:
Cd (0.0000, 0.0000, 0.0000)  8 P 3.06
Ge (0.5000, 0.5000, 0.5000)  2 O 1.78
P (0.0000, 0.5000, 0.5000)  2 Ge 2.49
O (0.5000, 0.5000, 0.0000)  2 Ge 1.78

---

no.,formation energy from raw total energies (eV per atom),total magnetization (μB/f.u.)
1,-0.059,2.34
2,0.210,0.00